[1]
Computed, not measured: an optimized crystal structure of TlZn2Os at the PBE level of DFT. Values from VASP.

Cell and atoms, written as Quantum ESPRESSO input:
```
&SYSTEM
  ibrav = 0, nat = 4, ntyp = 3
/
ATOMIC_SPECIES
Os 190.23 Os.upf
Zn 65.41 Zn.upf
Tl 204.38 Tl.upf
CELL_PARAMETERS angstrom
0.000 3.215 3.215
3.215 0.000 3.215
3.215 3.215 0.000
ATOMIC_POSITIONS angstrom
Os 0.000 0.000 0.000
Zn 1.608 1.608 1.608
Zn 4.823 4.823 4.823
Tl 3.215 3.215 3.215
```

As for the final energy: -3.38 eV per atom. As for the space-group type: Fm-3m. Its crystal system is cubic. For the formation energy, the calculation gives 2.6 eV/f.u. For the relative energy among the computed polymorphs, the calculation gives 284 meV per atom.

[2]
Computed, not measured: an optimized crystal structure of HoTh3Pb12 at the PBE level of DFT. Values from VASP.

Cell and atoms, written as Quantum ESPRESSO input:
```
&SYSTEM
  ibrav = 0, nat = 16, ntyp = 3
/
ATOMIC_SPECIES
Pb 207.20 Pb.upf
Th 232.04 Th.upf
Ho 164.93 Ho.upf
CELL_PARAMETERS angstrom
4.951 0.000 0.000
0.000 4.951 0.000
0.000 0.000 19.166
ATOMIC_POSITIONS angstrom
Pb 2.476 2.476 9.583
Pb 0.000 2.476 7.175
Pb 2.476 2.476 4.751
Pb 0.000 2.476 11.991
Pb 0.000 2.476 16.825
Pb 2.476 0.000 16.825
Pb 2.476 0.000 2.341
Pb 0.000 2.476 2.341
Pb 2.476 2.476 14.416
Pb 2.476 0.000 7.175
Pb 2.476 2.476 0.000
Pb 2.476 0.000 11.991
Th 0.000 0.000 4.803
Th 0.000 0.000 9.583
Th 0.000 0.000 14.363
Ho 0.000 0.000 0.000
```

As for the final energy: -4.70 eV per atom. As for the space-group type: P4/mmm. Its crystal system is tetragonal. For the formation energy, the calculation gives -3.8 eV/f.u.

[3]
Computed, not measured: an optimized crystal structure of HfTl2Ga2 at the PBE level of DFT. Values from VASP.

Cell and atoms, written as Quantum ESPRESSO input:
```
&SYSTEM
  ibrav = 0, nat = 10, ntyp = 3
/
ATOMIC_SPECIES
Ga 69.72 Ga.upf
Tl 204.38 Tl.upf
Hf 178.49 Hf.upf
CELL_PARAMETERS angstrom
-6.095 -3.658 1.776
3.668 -6.327 -0.444
1.003 0.297 4.053
ATOMIC_POSITIONS angstrom
Ga -3.358 -3.108 1.058
Ga -3.011 -7.163 1.269
Ga 0.931 -6.878 0.273
Ga 0.584 -2.822 0.062
Tl -0.803 -2.157 2.518
Tl 1.902 -4.799 2.042
Tl -0.622 -7.531 2.867
Tl -3.326 -4.890 3.342
Hf 0.000 0.000 0.000
Hf -1.214 -4.993 0.666
```

As for the final energy: -3.96 eV per atom. As for the space-group type: P4/mbm. Its crystal system is tetragonal. For the formation energy, the calculation gives 0.9 eV/f.u.

[4]
Computed, not measured: an optimized crystal structure of YRe2 at the PBE level of DFT. Values from VASP.

Cell and atoms, written as Quantum ESPRESSO input:
```
&SYSTEM
  ibrav = 0, nat = 12, ntyp = 2
/
ATOMIC_SPECIES
Re 186.21 Re.upf
Y 88.91 Y.upf
CELL_PARAMETERS angstrom
-4.692 -2.153 -1.645
4.432 -3.099 0.339
-2.029 -1.984 8.387
ATOMIC_POSITIONS angstrom
Re -0.936 -5.473 5.490
Re 1.349 -4.425 6.290
Re -1.354 -1.763 1.592
Re 0.000 0.000 0.000
Re -1.481 -4.321 0.957
Re -3.639 -2.812 0.791
Re -0.809 -2.916 6.125
Re -1.015 -0.992 4.194
Y -2.792 -3.584 3.731
Y -3.554 -4.329 6.883
Y 1.265 -2.907 0.199
Y 0.502 -3.653 3.351
```

As for the final energy: -10.67 eV per atom. As for the space-group type: P6_3/mmc. Its crystal system is hexagonal. For the formation energy, the calculation gives -0.7 eV/f.u.

[5]
Computed, not measured: an optimized crystal structure of AlZnTcO6 at the PBE level of DFT. Values from VASP.

Cell and atoms, written as Quantum ESPRESSO input:
```
&SYSTEM
  ibrav = 0, nat = 18, ntyp = 4
/
ATOMIC_SPECIES
O 16.00 O.upf
Zn 65.41 Zn.upf
Tc 98.00 Tc.upf
Al 26.98 Al.upf
CELL_PARAMETERS angstrom
4.958 0.000 0.000
-2.479 4.293 0.000
0.000 0.000 8.999
ATOMIC_POSITIONS angstrom
O 0.886 1.534 7.785
O 4.072 1.534 1.214
O 0.707 4.293 7.785
O -1.593 2.759 7.785
O 1.593 2.759 1.214
O 1.772 0.000 1.214
O 3.186 0.000 3.285
O 3.364 2.759 3.285
O 0.886 1.534 3.285
O 1.593 2.759 5.714
O -0.886 1.534 5.714
O -0.707 4.293 5.714
Zn 0.000 0.000 4.500
Zn 0.000 0.000 0.000
Tc 0.000 2.862 2.250
Tc 2.479 1.431 6.750
Al 2.479 1.431 2.250
Al 0.000 2.862 6.750
```

As for the final energy: -6.66 eV per atom. As for the space-group type: P-31c. As for the formation energy (no corrections): -1.640 eV per atom. Its crystal system is trigonal.

[6]
Computed, not measured: an optimized crystal structure of Cd2TcW at the PBE level of DFT. Values from VASP.

Cell and atoms, written as Quantum ESPRESSO input:
```
&SYSTEM
  ibrav = 0, nat = 4, ntyp = 3
/
ATOMIC_SPECIES
Cd 112.41 Cd.upf
W 183.84 W.upf
Tc 98.00 Tc.upf
CELL_PARAMETERS angstrom
-0.225 -4.799 2.691
4.801 -1.896 1.919
-3.686 4.088 0.158
ATOMIC_POSITIONS angstrom
Cd -0.858 -1.961 2.531
Cd 0.038 -0.056 0.038
W 1.830 -0.765 2.321
Tc 2.168 -3.172 2.184
```

As for the final energy: -5.80 eV per atom. As for the space-group type: Imm2. Its crystal system is orthorhombic. For the formation energy, the calculation gives 2.0 eV/f.u. For the relative energy among the computed polymorphs, the calculation gives 233 meV per atom.

[7]
Computed, not measured: an optimized crystal structure of SrRu3 at the PBE level of DFT. Values from VASP.

Cell and atoms, written as Quantum ESPRESSO input:
```
&SYSTEM
  ibrav = 0, nat = 8, ntyp = 2
/
ATOMIC_SPECIES
Ru 101.07 Ru.upf
Sr 87.62 Sr.upf
CELL_PARAMETERS angstrom
4.241 0.000 0.000
0.000 5.503 0.000
0.000 0.000 6.973
ATOMIC_POSITIONS angstrom
Ru 0.000 4.124 0.739
Ru 0.000 2.751 5.569
Ru 0.000 1.378 0.739
Ru 2.120 1.373 6.234
Ru 2.120 0.000 1.404
Ru 2.120 4.130 6.234
Sr 2.120 2.751 2.844
Sr 0.000 0.000 4.128
```

As for the final energy: -6.91 eV per atom. As for the space-group type: Pmmn. Its crystal system is orthorhombic. For the formation energy, the calculation gives 1.9 eV/f.u.

[8]
Computed, not measured: an optimized crystal structure of Hf2ZnH at the PBE level of DFT. Values from VASP.

Cell and atoms, written as Quantum ESPRESSO input:
```
&SYSTEM
  ibrav = 0, nat = 4, ntyp = 3
/
ATOMIC_SPECIES
Hf 178.49 Hf.upf
H 1.01 H.upf
Zn 65.41 Zn.upf
CELL_PARAMETERS angstrom
0.000 3.166 3.166
3.166 0.000 3.166
3.166 3.166 0.000
ATOMIC_POSITIONS angstrom
Hf 4.749 4.749 4.749
Hf 1.583 1.583 1.583
H 0.000 0.000 0.000
Zn 3.166 3.166 3.166
```

As for the final energy: -5.92 eV per atom. As for the space-group type: Fm-3m. Its crystal system is cubic. For the relative energy among the computed polymorphs, the calculation gives 407 meV per atom.